Entry 1:
This record from Alexandria via LeMat-Bulk describes crystalline TlAgS2 at its relaxed geometry. The functional is GGA-PBE.

## Properties
Energy relative to the elements, uncorrected   -0.054 eV/atom
Crystal system   monoclinic
DOS at the Fermi energy   0.00 states/eV/cell
Energy   -54.75 eV for the cell shown

abc: 7.5018 4.2154 15.2201
angles: 90.00 115.03 90.00
Fractional coordinates of all 16 atoms:
Tl 0.1694 0.0830 0.4034
Tl 0.1694 0.4170 0.9034
Tl 0.8306 0.5830 0.0966
Tl 0.8306 0.9170 0.5966
Ag 0.2647 0.5373 0.1783
Ag 0.2647 0.9627 0.6783
Ag 0.7353 0.0373 0.3217
Ag 0.7353 0.4627 0.8217
S 0.2988 0.0462 0.0897
S 0.2988 0.4538 0.5897
S 0.3919 0.5801 0.3585
S 0.3919 0.9199 0.8585
S 0.6081 0.0801 0.1415
S 0.6081 0.4199 0.6415
S 0.7012 0.5462 0.4103
S 0.7012 0.9538 0.9103

***

Entry 2:
This record from Alexandria via LeMat-Bulk describes crystalline La6Pm2DyTh at its relaxed geometry. The functional is GGA-PBE.

## Properties
Formation energy   0.19 eV per atom
Crystal system   monoclinic
DOS at the Fermi energy   17.70 states/eV/cell
Energy   -49.17 eV for the cell shown

abc: 6.7674 6.7674 9.2558
angles: 105.78 105.78 62.10
Fractional coordinates of all 10 atoms:
La 0.0683 0.5407 0.1952
La 0.1255 0.1255 0.4144
La 0.4593 0.9317 0.8048
La 0.5407 0.0683 0.1952
La 0.8745 0.8745 0.5856
La 0.9317 0.4593 0.8048
Pm 0.4269 0.4269 0.8261
Pm 0.5731 0.5731 0.1739
Dy 0.5000 0.5000 0.5000
Th 0.0000 0.0000 0.0000

***

Entry 3:
This record from Alexandria via LeMat-Bulk describes crystalline MgTaTcPt2 at its relaxed geometry. The functional is GGA-PBE.

## Properties
Formation energy   1.26 eV per atom
Crystal system   tetragonal
DOS at the Fermi energy   4.57 states/eV/cell
Energy   -29.58 eV for the cell shown

abc: 4.7691 4.7691 4.6328
angles: 90.00 90.00 90.00
Fractional coordinates of all 5 atoms:
Mg 0.0000 0.0000 0.0000
Ta 0.5000 0.5000 0.0000
Tc 0.0000 0.0000 0.5000
Pt 0.0000 0.5000 0.5000
Pt 0.5000 0.0000 0.5000

***

Entry 4:
This record from Alexandria via LeMat-Bulk describes crystalline Fe4OsCl at its relaxed geometry. The functional is GGA-PBE.

## Properties
Energy relative to the elements, uncorrected   0.794 eV/atom
Crystal system   cubic
DOS at the Fermi energy   7.00 states/eV/cell
Energy   -42.16 eV for the cell shown

abc: 4.8972 4.8972 4.8972
angles: 60.00 60.00 60.00
Fractional coordinates of all 6 atoms:
Fe 0.1241 0.1241 0.1241
Fe 0.1241 0.1241 0.6276
Fe 0.1241 0.6276 0.1241
Fe 0.6276 0.1241 0.1241
Os 0.7500 0.7500 0.7500
Cl 0.5000 0.5000 0.5000